No. 1
Below is a geometry-optimized La2Pr3Pb3N2 structure, with properties calculated at the PBE level.

a = 4.781 Å, b = 4.781 Å, c = 13.247 Å
α = 100.40°, β = 100.40°, γ = 90.00°
Sites, in units of the cell vectors:
1 La 0.750 0.250 0.500
2 La 0.250 0.750 0.500
3 Pr 0.871 0.871 0.741
4 Pr 0.500 0.500 0.000
5 Pr 0.129 0.129 0.259
6 Pb 0.631 0.631 0.263
7 Pb 0.369 0.369 0.737
8 Pb 0.000 0.000 0.000
9 N 0.781 0.781 0.562
10 N 0.219 0.219 0.438

Summary:
N(E_F) (states/eV per atom): 0.63
E_form (uncorrected) (eV/atom): -0.811



No. 2
Below is a geometry-optimized CoSn2N structure, with properties calculated at the PBE level.

a = 5.935 Å, b = 5.935 Å, c = 5.833 Å
α = 59.42°, β = 59.42°, γ = 90.00°
Sites, in units of the cell vectors:
1 Co 0.000 0.000 0.000
2 Co 0.750 0.250 0.500
3 Sn 0.584 0.125 0.250
4 Sn 0.166 0.625 0.250
5 Sn 0.375 0.416 0.750
6 Sn 0.875 0.834 0.750
7 N 0.500 0.500 0.000
8 N 0.250 0.750 0.500

Summary:
N(E_F) (states/eV per atom): 0.00
E_form (uncorrected) (eV/atom): 0.405



No. 3
Below is a geometry-optimized Nd5YSc2 structure, with properties calculated at the PBE level.

a = 9.124 Å, b = 9.124 Å, c = 8.985 Å
α = 120.51°, β = 120.51°, γ = 90.00°
Sites, in units of the cell vectors:
1 Nd 0.489 0.693 0.681
2 Nd 0.807 0.011 0.319
3 Nd 0.000 0.000 0.000
4 Nd 0.500 0.500 0.000
5 Nd 0.193 0.989 0.681
6 Nd 0.693 0.193 0.681
7 Nd 0.989 0.489 0.681
8 Nd 0.307 0.807 0.319
9 Nd 0.011 0.511 0.319
10 Nd 0.511 0.307 0.319
11 Y 0.750 0.750 0.500
12 Y 0.250 0.250 0.500
13 Sc 0.149 0.351 0.000
14 Sc 0.649 0.149 0.000
15 Sc 0.351 0.851 0.000
16 Sc 0.851 0.649 0.000

Summary:
ΔE_f (eV per atom): 0.140
N(E_F) (states/eV per atom): 1.31



No. 4
Below is a geometry-optimized Cs2LaPdO4 structure, with properties calculated at the PBE level.

a = 6.449 Å, b = 7.986 Å, c = 12.383 Å
α = 83.97°, β = 74.91°, γ = 66.19°
Sites, in units of the cell vectors:
1 Cs 0.184 0.000 0.631
2 Cs 0.816 0.000 0.369
3 Cs 0.566 0.500 0.869
4 Cs 0.934 0.500 0.131
5 La 0.750 0.500 0.500
6 La 0.000 0.000 0.000
7 Pd 0.250 0.500 0.500
8 Pd 0.500 0.000 0.000
9 O 0.365 0.811 0.001
10 O 0.177 0.189 0.999
11 O 0.824 0.811 0.999
12 O 0.634 0.189 0.001
13 O 0.385 0.689 0.499
14 O 0.573 0.311 0.501
15 O 0.926 0.689 0.501
16 O 0.116 0.311 0.499

Summary:
N(E_F) (states/eV per atom): 0.73
E_form (uncorrected) (eV/atom): -1.434